[1]
Material: U2Ag2PdS6
Method: DFT, PBE
State: relaxed

Unit cell a=6.620 b=6.620 c=6.827 alpha=104.28 beta=104.28 gamma=115.53
Element x y z (fractional)
U1 0.174 0.826 0.000
U2 0.826 0.174 0.000
Ag1 0.331 0.669 0.500
Ag2 0.669 0.331 0.500
Pd1 0.500 0.500 0.000
S1 0.072 0.388 0.776
S2 0.222 0.222 0.268
S3 0.388 0.072 0.776
S4 0.612 0.928 0.224
S5 0.778 0.778 0.732
S6 0.928 0.612 0.224

Results
crystal system = monoclinic
ρ = 6.871 Mg/m³
DFT total energy = -6.055 eV per atom

---

[2]
Material: Zr2Ag2PdS6
Method: DFT, PBE
State: relaxed

Unit cell a=6.365 b=6.365 c=7.305 alpha=102.45 beta=102.45 gamma=119.23
Element x y z (fractional)
Zr1 0.179 0.821 0.000
Zr2 0.821 0.179 0.000
Ag1 0.163 0.837 0.500
Ag2 0.837 0.163 0.500
Pd1 0.500 0.500 0.000
S1 0.088 0.088 0.795
S2 0.266 0.601 0.231
S3 0.399 0.734 0.769
S4 0.601 0.266 0.231
S5 0.734 0.399 0.769
S6 0.912 0.912 0.205

Results
crystal system = monoclinic
ρ = 4.954 Mg/m³
DFT total energy = -5.579 eV per atom

---

[3]
Material: AgSb2Pd9
Method: DFT, PBE
State: relaxed

Unit cell a=4.043 b=4.043 c=12.064 alpha=90.00 beta=90.00 gamma=90.00
Element x y z (fractional)
Ag1 0.000 0.000 0.000
Sb1 0.000 0.000 0.324
Sb2 0.000 0.000 0.676
Pd1 0.000 0.500 0.167
Pd2 0.000 0.500 0.500
Pd3 0.000 0.500 0.833
Pd4 0.500 0.000 0.167
Pd5 0.500 0.000 0.500
Pd6 0.500 0.000 0.833
Pd7 0.500 0.500 0.000
Pd8 0.500 0.500 0.337
Pd9 0.500 0.500 0.663

Results
crystal system = tetragonal
ρ = 11.026 Mg/m³
DFT total energy = -5.104 eV per atom

---

[4]
Material: Ag5SbPd8
Method: DFT, PBE
State: relaxed

Unit cell a=6.863 b=6.863 c=6.863 alpha=111.39 beta=111.39 gamma=105.70
Element x y z (fractional)
Ag1 0.000 0.000 0.000
Ag2 0.205 0.034 0.587
Ag3 0.382 0.795 0.829
Ag4 0.447 0.618 0.413
Ag5 0.966 0.553 0.171
Sb1 0.750 0.250 0.500
Pd1 0.098 0.328 0.430
Pd2 0.182 0.418 0.898
Pd3 0.333 0.902 0.231
Pd4 0.521 0.284 0.102
Pd5 0.582 0.479 0.763
Pd6 0.672 0.102 0.769
Pd7 0.716 0.818 0.237
Pd8 0.898 0.667 0.570

Results
crystal system = tetragonal
ρ = 10.126 Mg/m³
DFT total energy = -4.295 eV per atom

---

[5]
Material: AgSb4Pd15
Method: DFT, PBE
State: relaxed

Unit cell a=4.056 b=4.056 c=20.121 alpha=90.00 beta=90.00 gamma=90.00
Element x y z (fractional)
Ag1 0.000 0.000 0.000
Sb1 0.000 0.000 0.190
Sb2 0.000 0.000 0.398
Sb3 0.000 0.000 0.602
Sb4 0.000 0.000 0.810
Pd1 0.000 0.500 0.100
Pd2 0.000 0.500 0.301
Pd3 0.000 0.500 0.500
Pd4 0.000 0.500 0.699
Pd5 0.000 0.500 0.900
Pd6 0.500 0.000 0.100
Pd7 0.500 0.000 0.301
Pd8 0.500 0.000 0.500
Pd9 0.500 0.000 0.699
Pd10 0.500 0.000 0.900
Pd11 0.500 0.500 0.000
Pd12 0.500 0.500 0.203
Pd13 0.500 0.500 0.401
Pd14 0.500 0.500 0.599
Pd15 0.500 0.500 0.797

Results
crystal system = tetragonal
ρ = 10.993 Mg/m³
DFT total energy = -5.188 eV per atom

---

[6]
Material: AgSbPd
Method: DFT, PBE
State: relaxed

Unit cell a=4.637 b=4.637 c=3.165 alpha=90.00 beta=90.00 gamma=120.00
Element x y z (fractional)
Ag1 0.000 0.000 0.000
Sb1 0.667 0.333 0.500
Pd1 0.333 0.667 0.500

Results
energy above the most stable polymorph in this dataset = 0.18 eV/f.u.
crystal system = hexagonal
ρ = 9.468 Mg/m³
DFT total energy = -4.169 eV per atom

---

[7]
Material: Ag2Sb2Pd
Method: DFT, PBE
State: relaxed

Unit cell a=3.725 b=3.725 c=16.030 alpha=90.00 beta=90.00 gamma=90.00
Element x y z (fractional)
Ag1 0.000 0.500 0.250
Ag2 0.000 0.500 0.750
Ag3 0.500 0.000 0.250
Ag4 0.500 0.000 0.750
Sb1 0.000 0.000 0.095
Sb2 0.000 0.000 0.905
Sb3 0.500 0.500 0.405
Sb4 0.500 0.500 0.595
Pd1 0.000 0.000 0.500
Pd2 0.500 0.500 0.000

Results
energy above the most stable polymorph in this dataset = 0.61 eV/f.u.
crystal system = tetragonal
ρ = 8.445 Mg/m³
DFT total energy = -3.676 eV per atom

---

[8]
Material: Ag2SbPd9
Method: DFT, PBE
State: relaxed

Unit cell a=4.048 b=4.048 c=11.848 alpha=90.00 beta=90.00 gamma=90.00
Element x y z (fractional)
Ag1 0.000 0.000 0.165
Ag2 0.000 0.000 0.835
Sb1 0.000 0.000 0.500
Pd1 0.000 0.500 0.000
Pd2 0.000 0.500 0.334
Pd3 0.000 0.500 0.666
Pd4 0.500 0.000 0.000
Pd5 0.500 0.000 0.334
Pd6 0.500 0.000 0.666
Pd7 0.500 0.500 0.167
Pd8 0.500 0.500 0.500
Pd9 0.500 0.500 0.833

Results
crystal system = tetragonal
ρ = 11.077 Mg/m³
DFT total energy = -4.852 eV per atom

---

[9]
Material: Ag2Sb5Pd12
Method: DFT, PBE
State: relaxed

Unit cell a=8.011 b=8.011 c=9.083 alpha=104.79 beta=104.79 gamma=40.50
Element x y z (fractional)
Ag1 0.245 0.755 0.000
Ag2 0.755 0.245 0.000
Sb1 0.000 0.000 0.500
Sb2 0.316 0.316 0.652
Sb3 0.354 0.354 0.146
Sb4 0.646 0.646 0.854
Sb5 0.684 0.684 0.348
Pd1 0.049 0.561 0.891
Pd2 0.095 0.589 0.400
Pd3 0.104 0.104 0.300
Pd4 0.411 0.905 0.600
Pd5 0.439 0.951 0.109
Pd6 0.488 0.488 0.651
Pd7 0.512 0.512 0.349
Pd8 0.561 0.049 0.891
Pd9 0.589 0.095 0.400
Pd10 0.896 0.896 0.700
Pd11 0.905 0.411 0.600
Pd12 0.951 0.439 0.109

Results
crystal system = monoclinic
ρ = 9.579 Mg/m³
DFT total energy = -4.937 eV per atom

---

[10]
Material: Ag2SbPd6
Method: DFT, PBE
State: relaxed

Unit cell a=7.262 b=7.262 c=4.103 alpha=90.00 beta=90.00 gamma=131.37
Element x y z (fractional)
Ag1 0.238 0.762 0.000
Ag2 0.762 0.238 0.000
Sb1 0.000 0.000 0.500
Pd1 0.127 0.424 0.500
Pd2 0.275 0.275 0.000
Pd3 0.424 0.127 0.500
Pd4 0.576 0.873 0.500
Pd5 0.725 0.725 0.000
Pd6 0.873 0.576 0.500

Results
crystal system = orthorhombic
ρ = 9.980 Mg/m³
DFT total energy = -4.595 eV per atom

---

The following total moment values (in μB/cell) correspond, in order, to the records above: 2.46; 0.00; 0.00; 0.00; 0.00; 0.00; 0.00; 0.00; 0.00; 0.00.
The following formation energy (no corrections) values (in eV per atom) correspond, in order, to the records above: -0.761; -0.783; -0.285; -0.015; -0.326; -0.113; 0.152; -0.139; -0.272; -0.041.